1.
First-principles (PBE-GGA) data for crystalline Rb4Ac3SmO8 at its relaxed geometry, as listed in Alexandria.

- uncorrected energy (eV per atom) = -6.321
- spin magnetization (μB per atom) = 0.000
- formation energy (no corrections) (eV/atom) = -2.53

Cell: 7.644 7.978 7.644 Å, 118.64 120.00 90.00°
Fractional coordinates of all 16 atoms:
O 0.259 0.318 0.039
O 0.779 0.318 0.039
O 0.221 0.682 0.442
O 0.221 0.682 0.961
O 0.741 0.682 0.961
O 0.729 0.686 0.458
O 0.271 0.314 0.542
O 0.779 0.318 0.558
Rb 0.000 0.000 0.500
Rb 0.500 0.000 0.500
Rb 0.500 0.000 0.000
Rb 0.000 0.000 0.000
Sm 0.000 0.500 0.000
Ac 0.500 0.500 0.000
Ac 0.000 0.500 0.500
Ac 0.500 0.500 0.500


2.
First-principles (PBE-GGA) data for crystalline Rb2AcSmO4 at its relaxed geometry, as listed in Alexandria.

- uncorrected energy (eV per atom) = -6.375
- spin magnetization (μB per atom) = 0.000
- formation energy (no corrections) (eV/atom) = -2.55

Cell: 3.748 6.508 6.973 Å, 108.12 90.00 90.00°
Fractional coordinates of all 8 atoms:
Ac 0.000 0.000 0.000
Rb 0.500 0.000 0.500
Rb 0.000 0.500 0.500
O 0.000 0.285 0.820
O 0.500 0.758 0.817
O 0.500 0.242 0.183
O 0.000 0.715 0.180
Sm 0.500 0.500 0.000


3.
First-principles (PBE-GGA) data for crystalline Rb2Ac2SnO6 at its relaxed geometry, as listed in Alexandria.

- uncorrected energy (eV per atom) = -6.250
- spin magnetization (μB per atom) = 0.000
- formation energy (no corrections) (eV/atom) = -2.26

Cell: 6.325 6.325 6.992 Å, 97.11 97.11 119.09°
Fractional coordinates of all 11 atoms:
Ac 0.336 0.664 0.500
Ac 0.664 0.336 0.500
Sn 0.000 0.000 0.500
O 0.230 0.230 0.326
O 0.960 0.660 0.336
O 0.770 0.770 0.674
O 0.340 0.040 0.664
O 0.040 0.340 0.664
O 0.660 0.960 0.336
Rb 0.844 0.156 0.000
Rb 0.156 0.844 0.000


4.
First-principles (PBE-GGA) data for crystalline Rb4Ac3SnO8 at its relaxed geometry, as listed in Alexandria.

- uncorrected energy (eV per atom) = -5.917
- spin magnetization (μB per atom) = 0.000
- formation energy (no corrections) (eV/atom) = -2.18

Cell: 7.599 7.973 7.598 Å, 118.43 120.01 90.00°
Fractional coordinates of all 16 atoms:
Sn 0.000 0.500 0.000
O 0.272 0.315 0.543
O 0.743 0.684 0.964
O 0.220 0.684 0.964
O 0.780 0.316 0.036
O 0.728 0.685 0.457
O 0.780 0.316 0.560
O 0.220 0.684 0.440
O 0.257 0.316 0.036
Rb 0.000 0.000 0.000
Rb 0.000 0.000 0.500
Rb 0.500 0.000 0.500
Rb 0.500 0.000 0.000
Ac 0.500 0.500 0.000
Ac 0.500 0.500 0.500
Ac 0.000 0.500 0.500


5.
First-principles (PBE-GGA) data for crystalline RbAc2SnO6 at its relaxed geometry, as listed in Alexandria.

- uncorrected energy (eV per atom) = -6.573
- spin magnetization (μB per atom) = 0.110
- formation energy (no corrections) (eV/atom) = -2.28

Cell: 6.243 6.243 6.660 Å, 62.05 62.05 60.00°
Site moments in Bohr magnetons follow the coordinates.
Fractional coordinates of all 10 atoms:
Ac 0.529 0.529 0.413  0.01
Ac 0.014 0.013 0.960  0.04
O 0.563 0.254 0.215  0.09
O 0.254 0.968 0.215  0.09
O 0.683 0.184 0.775  0.21
O 0.358 0.683 0.775  0.21
O 0.183 0.358 0.775  0.21
O 0.968 0.563 0.215  0.09
Sn 0.321 0.321 0.037  -0.01
Rb 0.789 0.789 0.634  0.00


6.
First-principles (PBE-GGA) data for crystalline RbSrAcO3 at its relaxed geometry, as listed in Alexandria.

- uncorrected energy (eV per atom) = -6.111
- spin magnetization (μB per atom) = 0.000
- formation energy (no corrections) (eV/atom) = -2.51

Cell: 3.966 6.594 9.866 Å, 100.97 90.00 90.00°
Fractional coordinates of all 12 atoms:
O 0.250 0.790 0.470
O 0.750 0.210 0.530
O 0.750 0.017 0.131
O 0.250 0.983 0.869
O 0.250 0.436 0.871
O 0.750 0.564 0.129
Sr 0.250 0.122 0.640
Sr 0.750 0.878 0.360
Rb 0.750 0.633 0.671
Rb 0.250 0.367 0.329
Ac 0.250 0.760 0.040
Ac 0.750 0.240 0.960


7.
First-principles (PBE-GGA) data for crystalline Rb4AcTa3O12 at its relaxed geometry, as listed in Alexandria.

- uncorrected energy (eV per atom) = -7.498
- spin magnetization (μB per atom) = 0.087
- formation energy (no corrections) (eV/atom) = -2.35

Cell: 7.407 7.407 7.407 Å, 109.47 109.47 109.47°
Site moments in Bohr magnetons follow the coordinates.
Fractional coordinates of all 20 atoms:
O 0.723 0.723 0.000  0.10
O 0.750 0.250 0.500  0.17
O 0.277 0.000 0.277  0.10
O 0.000 0.723 0.723  0.10
O 0.750 0.500 0.250  0.17
O 0.500 0.750 0.250  0.17
O 0.723 0.000 0.723  0.10
O 0.500 0.250 0.750  0.17
O 0.250 0.500 0.750  0.17
O 0.000 0.277 0.277  0.10
O 0.250 0.750 0.500  0.17
O 0.277 0.277 0.000  0.10
Rb 0.000 0.500 0.000  0.00
Rb 0.500 0.500 0.500  0.00
Rb 0.000 0.000 0.500  0.00
Rb 0.500 0.000 0.000  0.00
Ac 0.000 0.000 0.000  0.03
Ta 0.500 0.000 0.500  -0.04
Ta 0.000 0.500 0.500  -0.04
Ta 0.500 0.500 0.000  -0.04


8.
First-principles (PBE-GGA) data for crystalline Rb3AcTa2O9 at its relaxed geometry, as listed in Alexandria.

- uncorrected energy (eV per atom) = -7.384
- spin magnetization (μB per atom) = 0.140
- formation energy (no corrections) (eV/atom) = -2.36

Cell: 6.134 6.134 7.650 Å, 90.00 90.00 120.00°
Site moments in Bohr magnetons follow the coordinates.
Fractional coordinates of all 15 atoms:
Ta 0.333 0.667 0.158  -0.07
Ta 0.667 0.333 0.842  -0.07
O 0.365 0.182 0.702  0.17
O 0.000 0.500 0.000  0.30
O 0.182 0.365 0.298  0.17
O 0.500 0.000 0.000  0.30
O 0.182 0.818 0.298  0.17
O 0.818 0.182 0.702  0.17
O 0.635 0.818 0.298  0.17
O 0.500 0.500 0.000  0.30
O 0.818 0.635 0.702  0.17
Rb 0.000 0.000 0.000  0.00
Rb 0.333 0.667 0.676  0.00
Rb 0.667 0.333 0.324  0.00
Ac 0.000 0.000 0.500  -0.01


9.
First-principles (PBE-GGA) data for crystalline Rb3Ac3TaO8 at its relaxed geometry, as listed in Alexandria.

- uncorrected energy (eV per atom) = -7.021
- spin magnetization (μB per atom) = 0.033
- formation energy (no corrections) (eV/atom) = -2.57

Cell: 7.437 7.437 8.001 Å, 117.70 90.00 120.00°
Fractional coordinates of all 15 atoms:
Rb 0.000 0.500 0.000
Rb 0.000 0.000 0.000
Rb 0.500 0.500 0.000
Ac 0.000 0.500 0.500
Ac 0.500 0.500 0.500
Ac 0.500 0.000 0.500
O 0.812 0.624 0.341
O 0.812 0.029 0.341
O 0.217 0.029 0.341
O 0.271 0.543 0.314
O 0.188 0.971 0.659
O 0.729 0.457 0.686
O 0.783 0.971 0.659
O 0.188 0.376 0.659
Ta 0.000 0.000 0.500


10.
First-principles (PBE-GGA) data for crystalline RbAc2TaO6 at its relaxed geometry, as listed in Alexandria.

- uncorrected energy (eV per atom) = -8.029
- spin magnetization (μB per atom) = 0.000
- formation energy (no corrections) (eV/atom) = -2.95

Cell: 6.231 6.231 6.528 Å, 61.49 61.49 60.00°
Fractional coordinates of all 10 atoms:
O 0.359 0.676 0.779
O 0.186 0.359 0.779
O 0.988 0.547 0.212
O 0.254 0.988 0.212
O 0.547 0.254 0.212
O 0.676 0.186 0.779
Ac 0.528 0.528 0.417
Ac 0.017 0.017 0.950
Ta 0.322 0.322 0.034
Rb 0.786 0.786 0.641


11.
First-principles (PBE-GGA) data for crystalline Rb2AcTbO4 at its relaxed geometry, as listed in Alexandria.

- uncorrected energy (eV per atom) = -6.387
- spin magnetization (μB per atom) = 0.000
- formation energy (no corrections) (eV/atom) = -2.57

Cell: 3.707 6.446 6.956 Å, 107.97 90.00 90.00°
Fractional coordinates of all 8 atoms:
Tb 0.500 0.500 0.000
O 0.500 0.752 0.819
O 0.500 0.248 0.181
O 0.000 0.289 0.822
O 0.000 0.711 0.178
Rb 0.500 0.000 0.500
Rb 0.000 0.500 0.500
Ac 0.000 0.000 0.000


12.
First-principles (PBE-GGA) data for crystalline Rb3Ac3TbO8 at its relaxed geometry, as listed in Alexandria.

- uncorrected energy (eV per atom) = -6.527
- spin magnetization (μB per atom) = 0.066
- formation energy (no corrections) (eV/atom) = -2.56

Cell: 7.583 7.583 7.991 Å, 118.33 90.00 120.00°
Site moments in Bohr magnetons follow the coordinates.
Fractional coordinates of all 15 atoms:
Rb 0.000 0.500 0.000  0.00
Rb 0.000 0.000 0.000  0.00
Rb 0.500 0.500 0.000  0.00
O 0.746 0.958 0.670  0.12
O 0.271 0.543 0.314  0.04
O 0.788 0.575 0.330  0.12
O 0.254 0.042 0.330  0.12
O 0.212 0.425 0.670  0.12
O 0.788 0.042 0.330  0.12
O 0.212 0.958 0.670  0.12
O 0.729 0.457 0.686  0.04
Ac 0.500 0.500 0.500  0.01
Ac 0.000 0.500 0.500  0.01
Ac 0.500 0.000 0.500  0.01
Tb 0.000 0.000 0.500  -0.01


13.
First-principles (PBE-GGA) data for crystalline Rb4Ac3TbO8 at its relaxed geometry, as listed in Alexandria.

- uncorrected energy (eV per atom) = -6.324
- spin magnetization (μB per atom) = 0.000
- formation energy (no corrections) (eV/atom) = -2.54

Cell: 7.605 7.962 7.605 Å, 118.54 120.00 90.00°
Fractional coordinates of all 16 atoms:
Ac 0.000 0.500 0.500
Ac 0.500 0.500 0.000
Ac 0.500 0.500 0.500
O 0.218 0.681 0.436
O 0.782 0.319 0.564
O 0.729 0.687 0.458
O 0.782 0.319 0.037
O 0.745 0.681 0.963
O 0.218 0.681 0.963
O 0.255 0.319 0.037
O 0.271 0.313 0.542
Rb 0.500 0.000 0.500
Rb 0.500 0.000 0.000
Rb 0.000 0.000 0.500
Rb 0.000 0.000 0.000
Tb 0.000 0.500 0.000


14.
First-principles (PBE-GGA) data for crystalline RbAcTc2O7 at its relaxed geometry, as listed in Alexandria.

- uncorrected energy (eV per atom) = -7.415
- spin magnetization (μB per atom) = 0.276
- formation energy (no corrections) (eV/atom) = -1.91

Cell: 3.940 3.940 10.841 Å, 90.00 90.00 90.00°
Site moments in Bohr magnetons follow the coordinates.
Fractional coordinates of all 11 atoms:
Tc 0.500 0.500 0.799  1.08
Tc 0.500 0.500 0.201  1.08
Rb 0.000 0.000 0.500  0.01
O 0.500 0.000 0.172  0.06
O 0.000 0.500 0.172  0.06
O 0.000 0.500 0.828  0.06
O 0.500 0.500 0.000  0.01
O 0.500 0.500 0.635  0.16
O 0.500 0.500 0.365  0.16
O 0.500 0.000 0.828  0.06
Ac 0.000 0.000 0.000  0.01


15.
First-principles (PBE-GGA) data for crystalline Rb2Ac2TcO6 at its relaxed geometry, as listed in Alexandria.

- uncorrected energy (eV per atom) = -6.740
- spin magnetization (μB per atom) = 0.273
- formation energy (no corrections) (eV/atom) = -2.17

Cell: 6.229 6.229 6.921 Å, 96.88 96.88 118.94°
Site moments in Bohr magnetons follow the coordinates.
Fractional coordinates of all 11 atoms:
Tc 0.000 0.000 0.500  2.28
O 0.229 0.229 0.326  0.07
O 0.961 0.668 0.338  0.06
O 0.039 0.332 0.662  0.06
O 0.332 0.039 0.662  0.06
O 0.771 0.771 0.674  0.07
O 0.668 0.961 0.338  0.06
Ac 0.663 0.337 0.500  0.02
Ac 0.337 0.663 0.500  0.02
Rb 0.845 0.155 0.000  0.00
Rb 0.155 0.845 0.000  0.00


16.
First-principles (PBE-GGA) data for crystalline RbAcTcO6 at its relaxed geometry, as listed in Alexandria.

- uncorrected energy (eV per atom) = -6.809
- spin magnetization (μB per atom) = 0.111
- formation energy (no corrections) (eV/atom) = -1.79

Cell: 6.222 5.494 4.499 Å, 89.90 89.71 63.73°
Site moments in Bohr magnetons follow the coordinates.
Fractional coordinates of all 9 atoms:
Tc 0.308 0.347 0.588  -0.03
Ac 0.578 0.712 0.261  -0.01
O 0.213 0.636 0.332  0.02
O 0.058 0.471 0.830  0.00
O 0.513 0.999 0.763  0.09
O 0.512 0.487 0.765  0.08
O 0.637 0.181 0.302  0.64
O 0.212 0.153 0.332  0.02
Rb 0.970 0.015 0.827  0.00


17.
First-principles (PBE-GGA) data for crystalline Rb2AcTc2O7 at its relaxed geometry, as listed in Alexandria.

- uncorrected energy (eV per atom) = -7.022
- spin magnetization (μB per atom) = 0.334
- formation energy (no corrections) (eV/atom) = -1.90

Cell: 4.028 4.028 11.635 Å, 80.04 80.04 90.00°
Site moments in Bohr magnetons follow the coordinates.
Fractional coordinates of all 12 atoms:
O 0.417 0.917 0.165  0.06
O 0.583 0.083 0.835  0.06
O 0.500 0.500 0.000  0.05
O 0.917 0.417 0.165  0.06
O 0.676 0.676 0.648  0.21
O 0.324 0.324 0.352  0.21
O 0.083 0.583 0.835  0.06
Tc 0.407 0.407 0.187  1.43
Tc 0.593 0.593 0.813  1.43
Rb 0.189 0.189 0.621  0.00
Rb 0.811 0.811 0.379  0.00
Ac 0.000 0.000 0.000  0.01


18.
First-principles (PBE-GGA) data for crystalline Rb3Ac3TcO8 at its relaxed geometry, as listed in Alexandria.

- uncorrected energy (eV per atom) = -6.608
- spin magnetization (μB per atom) = 0.200
- formation energy (no corrections) (eV/atom) = -2.26

Cell: 7.402 7.402 7.900 Å, 117.94 90.00 120.00°
Site moments in Bohr magnetons follow the coordinates.
Fractional coordinates of all 15 atoms:
O 0.198 0.396 0.665  0.07
O 0.231 0.033 0.335  0.06
O 0.802 0.033 0.335  0.06
O 0.729 0.459 0.688  0.00
O 0.802 0.604 0.335  0.07
O 0.769 0.967 0.665  0.06
O 0.271 0.541 0.312  0.00
O 0.198 0.967 0.665  0.06
Ac 0.000 0.500 0.500  0.01
Ac 0.500 0.500 0.500  0.01
Ac 0.500 0.000 0.500  0.01
Rb 0.500 0.500 0.000  0.00
Rb 0.000 0.000 0.000  0.00
Rb 0.000 0.500 0.000  0.00
Tc 0.000 0.000 0.500  2.31


19.
First-principles (PBE-GGA) data for crystalline RbAcTeO6 at its relaxed geometry, as listed in Alexandria.

- uncorrected energy (eV per atom) = -5.715
- spin magnetization (μB per atom) = 0.223
- formation energy (no corrections) (eV/atom) = -1.50

Cell: 6.138 6.138 5.978 Å, 90.00 90.00 60.00°
Site moments in Bohr magnetons follow the coordinates.
Fractional coordinates of all 9 atoms:
O 0.067 0.344 0.316  0.28
O 0.589 0.344 0.684  0.28
O 0.344 0.589 0.316  0.28
O 0.344 0.067 0.684  0.28
O 0.589 0.067 0.316  0.28
O 0.067 0.589 0.684  0.28
Rb 0.000 0.000 0.000  0.00
Te 0.333 0.333 0.500  -0.04
Ac 0.667 0.667 0.500  0.03


20.
First-principles (PBE-GGA) data for crystalline RbAc3Te4O12 at its relaxed geometry, as listed in Alexandria.

- uncorrected energy (eV per atom) = -5.971
- spin magnetization (μB per atom) = 0.016
- formation energy (no corrections) (eV/atom) = -1.70

Cell: 8.205 8.205 8.205 Å, 107.41 107.41 107.41°
Site moments in Bohr magnetons follow the coordinates.
Fractional coordinates of all 20 atoms:
O 0.628 0.787 0.056  -0.01
O 0.056 0.628 0.787  -0.01
O 0.500 0.113 0.887  -0.02
O 0.887 0.500 0.113  -0.02
O 0.500 0.344 0.656  0.09
O 0.344 0.656 0.500  0.09
O 0.372 0.944 0.213  -0.01
O 0.944 0.213 0.372  -0.01
O 0.213 0.372 0.944  -0.01
O 0.656 0.500 0.344  0.09
O 0.787 0.056 0.628  -0.01
O 0.113 0.887 0.500  -0.02
Ac 0.000 0.551 0.449  0.00
Ac 0.449 0.000 0.551  0.00
Ac 0.551 0.449 0.000  0.00
Te 0.048 0.500 0.952  -0.07
Te 0.952 0.048 0.500  -0.07
Te 0.500 0.952 0.048  -0.07
Te 0.500 0.500 0.500  0.30
Rb 0.000 0.000 0.000  0.00